CaAc2Sm | PBE-GGA | relaxed

Energy relative to the lowest polymorph listed for this composition ... 223 meV/atom
Formation energy from the elements ... 0.98 eV per formula unit

extended XYZ file:
```
4
Lattice="1.886 1.089 13.542 -1.886 1.089 13.542 0.000 -2.178 13.542" Properties=species:S:1:pos:R:3 pbc="T T T"
Ca 0.000 0.000 0.000
Ac 0.000 0.000 16.849
Ac 0.000 0.000 23.779
Sm 0.000 0.000 20.314
```

---

Ca2TeN2 | PBE-GGA | relaxed

Raw formation energy ... -4.35 eV per formula unit

extended XYZ file:
```
10
Lattice="6.843 -2.068 0.000 6.843 2.068 0.000 -1.500 0.000 7.432" Properties=species:S:1:pos:R:3 pbc="T T T"
Ca 3.541 1.288 6.534
Ca 7.896 1.288 4.614
Ca 4.291 -1.288 2.818
Ca 8.646 -1.288 0.898
Te 6.468 0.832 1.858
Te 5.718 -0.832 5.574
N 2.907 0.590 3.336
N 2.157 -0.590 7.052
N 10.029 0.590 0.380
N 9.279 -0.590 4.095
```

---

BaLiBr | PBE-GGA | relaxed

Energy relative to the lowest polymorph listed for this composition ... 0 meV/atom
Raw formation energy ... -3.05 eV per formula unit

extended XYZ file:
```
6
Lattice="2.734 1.579 9.081 -2.734 1.579 9.081 0.000 -3.157 9.081" Properties=species:S:1:pos:R:3 pbc="T T T"
Ba 0.000 0.000 2.278
Ba 0.000 0.000 24.965
Li 0.000 0.000 8.869
Li 0.000 0.000 18.374
Br 0.000 0.000 5.765
Br 0.000 0.000 21.478
```

---

Y2ZrCdCo | PBE-GGA | relaxed

Formation energy from the elements ... 6.27 eV per formula unit

extended XYZ file:
```
5
Lattice="5.483 0.000 0.000 0.000 5.483 0.000 0.000 0.000 5.251" Properties=species:S:1:pos:R:3 pbc="T T T"
Y 0.000 2.742 0.000
Y 2.742 0.000 0.000
Zr 0.000 0.000 2.626
Cd 0.000 0.000 0.000
Co 2.742 2.742 2.626
```

---

Ac2CuSi4Pt3 | PBE-GGA | relaxed

Raw formation energy ... -9.33 eV per formula unit

extended XYZ file:
```
10
Lattice="4.371 0.000 0.000 0.000 4.371 0.000 0.000 0.000 10.048" Properties=species:S:1:pos:R:3 pbc="T T T"
Ac 0.000 2.185 2.506
Ac 2.185 0.000 7.542
Cu 2.185 2.185 0.000
Si 0.000 0.000 5.024
Si 0.000 2.185 8.770
Si 2.185 0.000 1.278
Si 2.185 2.185 5.024
Pt 0.000 0.000 0.000
Pt 0.000 2.185 6.206
Pt 2.185 0.000 3.842
```

---

Dy5Tl6Pb | PBE-GGA | relaxed

Formation energy from the elements ... -3.59 eV per formula unit

extended XYZ file:
```
12
Lattice="-2.455 4.481 7.493 2.455 -4.481 7.493 2.455 4.481 -7.493" Properties=species:S:1:pos:R:3 pbc="T T T"
Dy 0.000 0.000 0.000
Dy 2.455 0.000 2.628
Dy 0.000 0.000 5.346
Dy 0.000 0.000 9.641
Dy 0.000 4.481 4.865
Tl 2.455 -2.321 4.923
Tl 2.455 2.033 0.000
Tl 0.000 2.160 2.571
Tl 2.455 2.321 4.923
Tl 0.000 2.448 7.493
Tl 0.000 6.802 2.571
Pb 0.000 4.481 0.000
```

---

La3NdEr2Se6 | PBE-GGA | relaxed

Raw formation energy ... -22.54 eV per formula unit

extended XYZ file:
```
12
Lattice="3.621 -6.291 0.000 3.621 6.291 0.000 -2.425 0.000 6.933" Properties=species:S:1:pos:R:3 pbc="T T T"
La 0.000 0.000 0.000
La 3.621 2.031 0.000
La 3.621 -2.031 0.000
Nd 2.408 0.000 3.467
Er 2.408 4.193 3.467
Er 2.408 -4.193 3.467
Se 1.165 2.167 1.840
Se -0.088 0.000 5.059
Se 1.165 -2.167 1.840
Se 3.652 2.167 5.093
Se 4.905 0.000 1.874
Se 3.652 -2.167 5.093
```

---

Dy3Ho8Sc2 | PBE-GGA | relaxed

Energy relative to the lowest polymorph listed for this composition ... 0 meV/atom
Formation energy from the elements ... 3.06 eV per formula unit

extended XYZ file:
```
13
Lattice="7.315 -4.516 0.000 7.315 4.516 0.000 -2.185 0.000 6.279" Properties=species:S:1:pos:R:3 pbc="T T T"
Dy 0.000 0.000 0.000
Dy 6.222 2.969 3.140
Dy 6.222 -2.969 3.140
Ho 0.832 0.000 5.623
Ho 3.789 1.634 5.075
Ho 5.380 0.000 1.747
Ho 8.655 1.634 1.205
Ho 3.789 -1.634 5.075
Ho 7.064 0.000 4.532
Ho 8.655 -1.634 1.205
Ho 11.612 0.000 0.657
Sc 2.049 0.000 2.652
Sc 10.395 0.000 3.628
```

---

Pa2Al2GaRh5 | PBE-GGA | relaxed

Formation energy from the elements ... -6.67 eV per formula unit

extended XYZ file:
```
20
Lattice="9.957 0.000 0.000 0.000 9.957 0.000 0.000 0.000 3.428" Properties=species:S:1:pos:R:3 pbc="T T T"
Pa 1.760 3.218 0.000
Pa 3.218 8.197 0.000
Pa 6.738 1.760 0.000
Pa 8.197 6.738 0.000
Al 1.222 6.201 0.000
Al 3.756 1.222 0.000
Al 6.201 8.735 0.000
Al 8.735 3.756 0.000
Ga 0.000 0.000 0.000
Ga 4.978 4.978 0.000
Rh 0.000 4.978 1.714
Rh 0.628 7.913 1.714
Rh 2.044 0.628 1.714
Rh 2.934 5.606 1.714
Rh 4.351 2.934 1.714
Rh 4.978 0.000 1.714
Rh 5.606 7.022 1.714
Rh 7.022 4.351 1.714
Rh 7.913 9.329 1.714
Rh 9.329 2.044 1.714
```

---

Ba2Zn2As | PBE-GGA | relaxed

Energy relative to the lowest polymorph listed for this composition ... 76 meV/atom
Formation energy from the elements ... -1.70 eV per formula unit

extended XYZ file:
```
10
Lattice="7.886 0.000 0.000 0.000 7.886 0.000 0.000 0.000 4.857" Properties=species:S:1:pos:R:3 pbc="T T T"
Ba 1.505 2.438 0.000
Ba 2.438 6.381 0.000
Ba 5.447 1.505 0.000
Ba 6.381 5.447 0.000
Zn 0.893 4.835 2.429
Zn 3.050 0.893 2.429
Zn 4.835 6.993 2.429
Zn 6.993 3.050 2.429
As 0.000 0.000 2.429
As 3.943 3.943 2.429
```

---

CeGe2MoOs | PBE-GGA | relaxed

Formation energy from the elements ... -1.51 eV per formula unit

extended XYZ file:
```
5
Lattice="-2.089 2.089 5.395 2.089 -2.089 5.395 2.089 2.089 -5.395" Properties=species:S:1:pos:R:3 pbc="T T T"
Ce 0.000 0.000 0.000
Ge 0.000 0.000 4.117
Ge 0.000 0.000 6.673
Mo 2.089 0.000 2.697
Os 0.000 2.089 2.697
```

---

Dy3BiO4 | PBE-GGA | relaxed

Raw formation energy ... -23.16 eV per formula unit

extended XYZ file:
```
8
Lattice="3.884 0.000 0.000 0.000 3.884 0.000 0.000 0.000 10.199" Properties=species:S:1:pos:R:3 pbc="T T T"
Dy 0.000 0.000 0.000
Dy 1.942 1.942 2.342
Dy 1.942 1.942 7.857
Bi 0.000 0.000 5.099
O 0.000 1.942 1.391
O 0.000 1.942 8.808
O 1.942 0.000 1.391
O 1.942 0.000 8.808
```

---

Calculated values (eV/atom) of total energy for the records, taken in order: -3.490; -5.630; -2.853; -4.645; -6.146; -3.709; -6.010; -4.618; -7.294; -2.548; -7.748; -7.585.
Calculated values (μB/f.u.) of total moment for the records, taken in order: 0.001; 0.971; 0.000; 0.042; 0.000; 0.000; 0.000; 0.000; 1.578; 0.000; 1.544; 0.000.
Calculated values (kg/m³) of density for the records, taken in order: 6413; 3722; 3166; 4632; 10513; 11310; 7198; 7593; 10754; 5282; 10074; 8207.